No. 1
12
Lattice="-2.734 -1.823 -1.916 -2.111 -2.564 5.451 -4.501 5.744 0.959" Properties=species:S:1:pos:R:3 comment="SCAN TaSiPt, single point on PBEsol structure" dos_ef_per_ev_atom=0.45 raw_formation_energy_ev_per_atom=-0.82 total_energy_ev_per_atom=-49.75 pbc="T T T"
Pt -6.979 3.097 1.348
Pt -2.951 1.634 0.769
Pt -6.395 -0.276 3.724
Pt -2.368 -1.740 3.145
Ta -4.846 -2.922 4.030
Ta -4.501 4.280 0.463
Ta -4.783 2.011 3.024
Ta -4.564 -0.653 1.469
Si -1.817 -0.425 1.109
Si -3.993 -0.277 4.073
Si -5.354 1.635 0.420
Si -7.530 1.783 3.384

No. 2
4
Lattice="4.104 0.000 0.000 0.000 3.821 0.000 0.000 0.000 3.821" Properties=species:S:1:pos:R:3 comment="SCAN TaSiPt2, single point on PBEsol structure" dos_ef_per_ev_atom=0.33 raw_formation_energy_ev_per_atom=-0.53 total_energy_ev_per_atom=-54.77 pbc="T T T"
Pt 0.000 0.000 1.910
Pt 0.000 1.910 0.000
Ta 2.052 0.000 0.000
Si 2.052 1.910 1.910

No. 3
8
Lattice="-0.150 1.392 3.558 2.718 -2.463 1.078 4.976 6.533 -4.399" Properties=species:S:1:pos:R:3 comment="SCAN TaSiPt2, single point on PBEsol structure" dos_ef_per_ev_atom=0.33 raw_formation_energy_ev_per_atom=-0.31 total_energy_ev_per_atom=-54.56 pbc="T T T"
Pt 5.310 4.255 -0.413
Pt 2.133 1.914 2.383
Pt 3.565 0.014 1.213
Pt 4.080 4.742 -2.709
Ta 0.000 0.000 0.000
Ta 4.489 1.767 -0.502
Si 3.055 3.695 0.738
Si 1.284 -0.536 2.318

No. 4
4
Lattice="2.808 0.000 0.009 0.000 4.104 0.000 -0.403 0.000 5.379" Properties=species:S:1:pos:R:3 comment="SCAN Ta2SiPt, single point on PBEsol structure" dos_ef_per_ev_atom=0.35 raw_formation_energy_ev_per_atom=-0.56 total_energy_ev_per_atom=-53.90 pbc="T T T"
Ta 2.403 0.000 4.002
Ta 0.002 0.000 1.386
Si 1.202 2.052 2.694
Pt 1.404 2.052 0.004

No. 5
12
Lattice="-1.145 0.253 -4.099 -0.753 -6.905 -0.216 -7.068 0.708 2.019" Properties=species:S:1:pos:R:3 comment="SCAN TbSiPt, single point on PBEsol structure" dos_ef_per_ev_atom=0.40 raw_formation_energy_ev_per_atom=-1.37 total_energy_ev_per_atom=-43.70 pbc="T T T"
Pt -7.270 -4.110 0.670
Pt -4.579 -0.889 0.116
Pt -1.696 -1.834 -2.965
Pt -4.387 -5.055 -2.411
Si -3.917 -0.790 -2.280
Si -1.989 -4.473 -3.046
Si -5.049 -5.154 -0.015
Si -6.977 -1.471 0.751
Tb -6.174 -2.796 -1.773
Tb -2.792 -3.149 -0.522
Tb -2.438 -6.674 -0.839
Tb -6.528 0.730 -1.456

No. 6
5
Lattice="-0.458 -1.426 3.823 -2.583 -2.876 -1.382 5.337 -0.942 -1.917" Properties=species:S:1:pos:R:3 comment="SCAN TbSi2Pt2, single point on PBEsol structure" dos_ef_per_ev_atom=0.66 raw_formation_energy_ev_per_atom=-1.18 total_energy_ev_per_atom=-42.61 pbc="T T T"
Si 2.930 -2.375 -0.535
Si -0.634 -2.869 1.058
Pt 1.679 -2.260 1.563
Pt 0.616 -2.984 -1.040
Tb 0.000 0.000 0.000